First-principles (PBE-GGA) data for a geometry-optimized Mg8Tl2In structure, as listed in Alexandria via LeMat-Bulk.

## Properties
- Magnetization: 0.00 μB/f.u.
- Energy relative to the lowest polymorph listed for this composition: 0 meV/atom
- E_form: -0.04 eV per atom

Cell: 4.545 7.294 8.507 Å, 107.43 105.49 90.00°
Fractional positions:
Mg1 0.410 0.545 0.819
Mg2 0.678 0.915 0.356
Mg3 0.859 0.812 0.718
Mg4 0.959 0.269 0.919
Mg5 0.141 0.188 0.282
Mg6 0.322 0.085 0.644
Mg7 0.590 0.455 0.181
Mg8 0.041 0.731 0.081
Tl1 0.782 0.349 0.564
Tl2 0.218 0.651 0.436
In1 0.500 0.000 0.000